VASP calculation (PBE) on crystalline Ta3NiCl at its relaxed geometry.

The structure in POSCAR format:
```
Ta3NiCl
1.0
4.4805 0.0000 0.0000
0.0000 4.4805 0.0000
0.0000 0.0000 4.4805
Ni Cl Ta
1 1 3
Cartesian
2.2403 2.2403 2.2403 Ni
0.0000 0.0000 0.0000 Cl
0.0000 2.2403 0.0000 Ta
0.0000 0.0000 2.2403 Ta
2.2403 0.0000 0.0000 Ta
```

DOS(E_F) = 8.12 states/eV/f.u.
crystal system = cubic
energy above the most stable polymorph in this dataset = 0.00 eV/f.u.
total energy = -7.5432 eV/atom
ΔE_f (raw) = 1.094 eV/atom